No. 1
# PuUPa | Alexandria | PBE | optimized geometry
data_PuUPa
_chemical_formula_sum 'Pu4 U4 Pa4'
_space_group_name_H-M_alt 'C m c m'
_space_group_IT_number 63
_space_group_name_Hall '-C 2c 2'
_cell_length_a 4.459
_cell_length_b 12.143
_cell_length_c 4.763
_cell_angle_alpha 90.00
_cell_angle_beta 90.00
_cell_angle_gamma 90.00
loop_
_atom_site_label
_atom_site_type_symbol
_atom_site_fract_x
_atom_site_fract_y
_atom_site_fract_z
_atom_site_occupancy
Pu1 Pu 0.000 0.194 0.250 1
U1 U 0.000 0.392 0.750 1
Pa1 Pa 0.000 0.103 0.750 1
# Fermi-level density of states	24.713	states/eV/cell
# E_tot	-11.629	eV per atom
# formation energy	0.076	eV/atom
# magnetic moment	0.0	μB/f.u.

No. 2
# K2FePt | Alexandria | PBE | optimized geometry
data_K2FePt
_chemical_formula_sum 'K4 Fe2 Pt2'
_space_group_name_H-M_alt 'I m m 2'
_space_group_IT_number 44
_cell_length_a 4.248
_cell_length_b 5.696
_cell_length_c 9.955
_cell_angle_alpha 90.00
_cell_angle_beta 90.00
_cell_angle_gamma 90.00
loop_
_space_group_symop_operation_xyz
'x,y,z'
'-x,-y,z'
'-x,y,z'
'x,-y,z'
'x+1/2,y+1/2,z+1/2'
'-x+1/2,-y+1/2,z+1/2'
'-x+1/2,y+1/2,z+1/2'
'x+1/2,-y+1/2,z+1/2'
loop_
_atom_site_label
_atom_site_type_symbol
_atom_site_fract_x
_atom_site_fract_y
_atom_site_fract_z
_atom_site_occupancy
K1 K 0.000 0.000 0.000 1
K2 K 0.000 0.500 0.194 1
Fe1 Fe 0.000 0.000 0.400 1
Pt1 Pt 0.000 0.500 0.788 1
# Fermi-level density of states	8.202	states/eV/cell
# E_tot	-3.773	eV per atom
# formation energy	0.401	eV/atom
# magnetic moment	3.5	μB/f.u.

No. 3
# Cs3Ga2Sn4 | Alexandria | PBE | optimized geometry
data_Cs3Ga2Sn4
_chemical_formula_sum 'Cs12 Ga8 Sn16'
_space_group_name_H-M_alt 'C 1 2/c 1'
_space_group_IT_number 15
_cell_length_a 18.085
_cell_length_b 11.551
_cell_length_c 7.160
_cell_angle_alpha 90.00
_cell_angle_beta 112.88
_cell_angle_gamma 90.00
loop_
_space_group_symop_operation_xyz
'x,y,z'
'-x,-y,-z'
'-x,y,-z+1/2'
'x,-y,z+1/2'
'x+1/2,y+1/2,z'
'-x+1/2,-y+1/2,-z'
'-x+1/2,y+1/2,-z+1/2'
'x+1/2,-y+1/2,z+1/2'
loop_
_atom_site_label
_atom_site_type_symbol
_atom_site_fract_x
_atom_site_fract_y
_atom_site_fract_z
_atom_site_occupancy
Cs1 Cs 0.000 0.050 0.250 1
Cs2 Cs 0.102 0.388 0.096 1
Ga1 Ga 0.216 0.131 0.428 1
Sn1 Sn 0.148 0.268 0.652 1
Sn2 Sn 0.208 0.106 0.031 1
# Fermi-level density of states	8.235	states/eV/cell
# E_tot	-2.916	eV per atom
# formation energy	-0.180	eV/atom
# magnetic moment	0.0	μB/f.u.

No. 4
# Dy8GaHg2 | Alexandria | PBE | optimized geometry
data_Dy8GaHg2
_chemical_formula_sum 'Dy16 Ga2 Hg4'
_space_group_name_H-M_alt 'C 1 2/m 1'
_space_group_IT_number 12
_cell_length_a 18.016
_cell_length_b 5.177
_cell_length_c 6.928
_cell_angle_alpha 90.00
_cell_angle_beta 106.07
_cell_angle_gamma 90.00
loop_
_space_group_symop_operation_xyz
'x,y,z'
'-x,-y,-z'
'-x,y,-z'
'x,-y,z'
'x+1/2,y+1/2,z'
'-x+1/2,-y+1/2,-z'
'-x+1/2,y+1/2,-z'
'x+1/2,-y+1/2,z'
loop_
_atom_site_label
_atom_site_type_symbol
_atom_site_fract_x
_atom_site_fract_y
_atom_site_fract_z
_atom_site_occupancy
Dy1 Dy 0.022 0.000 0.272 1
Dy2 Dy 0.090 0.500 0.954 1
Dy3 Dy 0.163 0.500 0.471 1
Dy4 Dy 0.199 0.000 0.812 1
Ga1 Ga 0.000 0.500 0.500 1
Hg1 Hg 0.184 0.000 0.225 1
# Fermi-level density of states	18.266	states/eV/cell
# E_tot	-3.939	eV per atom
# formation energy	-0.262	eV/atom
# magnetic moment	0.0	μB/f.u.

No. 5
# Ca2PbAuO6 | Alexandria | PBE | optimized geometry
data_Ca2PbAuO6
_chemical_formula_sum 'Ca2 Pb1 Au1 O6'
_space_group_name_H-M_alt 'P 4 m m'
_space_group_IT_number 99
_cell_length_a 5.630
_cell_length_b 5.630
_cell_length_c 4.833
_cell_angle_alpha 90.00
_cell_angle_beta 90.00
_cell_angle_gamma 90.00
loop_
_space_group_symop_operation_xyz
'x,y,z'
'-y,x,z'
'-x,-y,z'
'y,-x,z'
'-x,y,z'
'y,x,z'
'x,-y,z'
'-y,-x,z'
loop_
_atom_site_label
_atom_site_type_symbol
_atom_site_fract_x
_atom_site_fract_y
_atom_site_fract_z
_atom_site_occupancy
Ca1 Ca 0.000 0.500 0.000 1
Pb1 Pb 0.000 0.000 0.550 1
Au1 Au 0.500 0.500 0.648 1
O1 O 0.000 0.000 0.124 1
O2 O 0.251 0.251 0.724 1
O3 O 0.500 0.500 0.170 1
# Fermi-level density of states	1.115	states/eV/cell
# formation energy (no corrections)	-1.264	eV/atom
# E_tot	-5.338	eV per atom
# magnetic moment	0.3	μB/f.u.

No. 6
# BeNbS2N | Alexandria | PBE | optimized geometry
data_BeNbS2N
_chemical_formula_sum 'Be1 Nb1 S2 N1'
_space_group_name_H-M_alt 'P 4/m m m'
_space_group_IT_number 123
_space_group_name_Hall '-P 4 2'
_cell_length_a 4.925
_cell_length_b 4.925
_cell_length_c 3.849
_cell_angle_alpha 90.00
_cell_angle_beta 90.00
_cell_angle_gamma 90.00
loop_
_atom_site_label
_atom_site_type_symbol
_atom_site_fract_x
_atom_site_fract_y
_atom_site_fract_z
_atom_site_occupancy
Be1 Be 0.000 0.000 0.000 1
Nb1 Nb 0.500 0.500 0.500 1
S1 S 0.000 0.500 0.500 1
N1 N 0.500 0.500 0.000 1
# Fermi-level density of states	1.928	states/eV/cell
# formation energy (no corrections)	0.395	eV/atom
# E_tot	-5.680	eV per atom
# magnetic moment	0.0	μB/f.u.

No. 7
# Th6IrRu2Se3 | Alexandria | PBE | optimized geometry
data_Th6IrRu2Se3
_chemical_formula_sum 'Th12 Ir2 Ru4 Se6'
_space_group_name_H-M_alt 'C 1 2/m 1'
_space_group_IT_number 12
_cell_length_a 18.934
_cell_length_b 4.106
_cell_length_c 8.759
_cell_angle_alpha 90.00
_cell_angle_beta 108.32
_cell_angle_gamma 90.00
loop_
_space_group_symop_operation_xyz
'x,y,z'
'-x,-y,-z'
'-x,y,-z'
'x,-y,z'
'x+1/2,y+1/2,z'
'-x+1/2,-y+1/2,-z'
'-x+1/2,y+1/2,-z'
'x+1/2,-y+1/2,z'
loop_
_atom_site_label
_atom_site_type_symbol
_atom_site_fract_x
_atom_site_fract_y
_atom_site_fract_z
_atom_site_occupancy
Th1 Th 0.009 0.000 0.233 1
Th2 Th 0.161 0.500 0.106 1
Th3 Th 0.175 0.500 0.563 1
Ir1 Ir 0.000 0.500 0.000 1
Ru1 Ru 0.167 0.000 0.333 1
Se1 Se 0.000 0.500 0.500 1
Se2 Se 0.166 0.000 0.834 1
# Fermi-level density of states	12.567	states/eV/cell
# formation energy (no corrections)	-1.152	eV/atom
# E_tot	-8.018	eV per atom
# magnetic moment	0.0	μB/f.u.

No. 8
# BeInMo | Alexandria | PBE | optimized geometry
data_BeInMo
_chemical_formula_sum 'Be2 In2 Mo2'
_space_group_name_H-M_alt 'I m m 2'
_space_group_IT_number 44
_cell_length_a 2.853
_cell_length_b 3.397
_cell_length_c 9.787
_cell_angle_alpha 90.00
_cell_angle_beta 90.00
_cell_angle_gamma 90.00
loop_
_space_group_symop_operation_xyz
'x,y,z'
'-x,-y,z'
'-x,y,z'
'x,-y,z'
'x+1/2,y+1/2,z+1/2'
'-x+1/2,-y+1/2,z+1/2'
'-x+1/2,y+1/2,z+1/2'
'x+1/2,-y+1/2,z+1/2'
loop_
_atom_site_label
_atom_site_type_symbol
_atom_site_fract_x
_atom_site_fract_y
_atom_site_fract_z
_atom_site_occupancy
Be1 Be 0.000 0.000 0.000 1
In1 In 0.000 0.000 0.691 1
Mo1 Mo 0.000 0.000 0.393 1
# Fermi-level density of states	2.744	states/eV/cell
# E_tot	-5.403	eV per atom
# formation energy	0.362	eV/atom
# magnetic moment	0.0	μB/f.u.